Entry 1:
NiMoW2 PBE optimized geometry; total moment = 0.000 μB per cell; E_tot = -10.383 eV/atom; E above lowest polymorph = 0.746 eV/f.u.; SG = Fm-3m (225); volume = 14.9 Å³/atom; formation energy from the elements = 247 meV/atom
1.0
0.000 3.102 3.102
3.102 0.000 3.102
3.102 3.102 0.000
Ni Mo W
1 1 2
direct
0.000 0.000 0.000
0.500 0.500 0.500
0.250 0.250 0.250
0.750 0.750 0.750

Entry 2:
PdSeIBr2 PBE optimized geometry; total moment = 0.000 μB per cell; E_tot = -2.519 eV/atom; E above lowest polymorph = 0.000 eV/f.u.; SG = P4/mmm (123); volume = 26.8 Å³/atom; formation energy without anion corrections = 196 meV/atom
1.0
5.102 0.000 0.000
0.000 5.102 0.000
0.000 0.000 5.143
Pd Se I Br
1 1 1 2
direct
0.000 0.000 0.000
0.000 0.000 0.500
0.500 0.500 0.500
0.000 0.500 0.000
0.500 0.000 0.000